This record from Alexandria via LeMat-Bulk describes crystalline Cs2SrNiCl6 at its relaxed geometry. The functional is GGA-PBE.

Lattice parameters (Å, degrees): 7.510 7.510 7.512 60.01 60.01 90.00
Site moments in Bohr magnetons follow the coordinates.
Fractional positions:
Cs  0.750  0.250  0.500  0.00
Cs  0.250  0.750  0.500  0.00
Sr  0.000  0.000  0.000  0.03
Cl  0.270  0.270  0.460  0.06
Cl  0.730  0.730  0.540  0.06
Cl  0.270  0.270  0.000  0.06
Cl  0.730  0.730  0.000  0.06
Cl  0.730  0.270  0.000  0.06
Cl  0.270  0.730  0.000  0.06
Ni  0.500  0.500  0.000  1.49

Results
The value obtained for the calculated total energy is -3.724 eV/atom. Its uncorrected formation energy is -1.699 eV per atom.